# 1
First-principles (GGA-PBE) data for a relaxed PrPuBeN3 crystal, as listed in Alexandria via LeMat-Bulk.

Cell and atoms, written as CIF:
```
data_PrPuBeN3
_cell_length_a 6.9854
_cell_length_b 3.3767
_cell_length_c 7.2063
_cell_angle_alpha 90.00
_cell_angle_beta 101.07
_cell_angle_gamma 90.00
_space_group_name_H-M_alt 'P 1 21/m 1'
_space_group_IT_number 11
_space_group_name_Hall '-P 2yb'
loop_
_atom_site_label
_atom_site_type_symbol
_atom_site_fract_x
_atom_site_fract_y
_atom_site_fract_z
_atom_site_occupancy
Pr1 Pr 0.2174 0.2500 0.1754 1
Pu1 Pu 0.1796 0.2500 0.6595 1
Be1 Be 0.4024 0.7500 0.9254 1
N1 N 0.1456 0.7500 0.4270 1
N2 N 0.1529 0.7500 0.8773 1
N3 N 0.4890 0.2500 0.8424 1
```

Summary:
- formation energy from raw total energies (eV/f.u.) = -6.9

***

# 2
First-principles (GGA-PBE) data for a relaxed TaFeP2S crystal, as listed in Alexandria via LeMat-Bulk.

Cell and atoms, written as CIF:
```
data_TaFeP2S
_cell_length_a 4.1879
_cell_length_b 4.1879
_cell_length_c 4.6641
_cell_angle_alpha 90.00
_cell_angle_beta 90.00
_cell_angle_gamma 90.00
_space_group_name_H-M_alt 'P 4/m m m'
_space_group_IT_number 123
_space_group_name_Hall '-P 4 2'
loop_
_atom_site_label
_atom_site_type_symbol
_atom_site_fract_x
_atom_site_fract_y
_atom_site_fract_z
_atom_site_occupancy
Ta1 Ta 0.0000 0.0000 0.0000 1
Fe1 Fe 0.5000 0.5000 0.5000 1
P1 P 0.0000 0.5000 0.5000 1
S1 S 0.5000 0.5000 0.0000 1
```

Summary:
- formation energy from raw total energies (eV/f.u.) = 3.3
- ΔE to the lowest computed polymorph (kJ per mole of atoms) = 3.15

***

What did the second record say?
First-principles (GGA-PBE) data for a relaxed TaFeP2S crystal, as listed in Alexandria via LeMat-Bulk.

Cell and atoms, written as CIF:
```
data_TaFeP2S
_cell_length_a 4.1879
_cell_length_b 4.1879
_cell_length_c 4.6641
_cell_angle_alpha 90.00
_cell_angle_beta 90.00
_cell_angle_gamma 90.00
_space_group_name_H-M_alt 'P 4/m m m'
_space_group_IT_number 123
_space_group_name_Hall '-P 4 2'
loop_
_atom_site_label
_atom_site_type_symbol
_atom_site_fract_x
_atom_site_fract_y
_atom_site_fract_z
_atom_site_occupancy
Ta1 Ta 0.0000 0.0000 0.0000 1
Fe1 Fe 0.5000 0.5000 0.5000 1
P1 P 0.0000 0.5000 0.5000 1
S1 S 0.5000 0.5000 0.0000 1
```

Summary:
- formation energy from raw total energies (eV/f.u.) = 3.3
- ΔE to the lowest computed polymorph (kJ per mole of atoms) = 3.15

***

- Look up the formation energy from raw total energies of the first one.
  -6.9 eV/f.u.

***

What did the second record say?
First-principles (GGA-PBE) data for a relaxed TaFeP2S crystal, as listed in Alexandria via LeMat-Bulk.

Cell and atoms, written as CIF:
```
data_TaFeP2S
_cell_length_a 4.1879
_cell_length_b 4.1879
_cell_length_c 4.6641
_cell_angle_alpha 90.00
_cell_angle_beta 90.00
_cell_angle_gamma 90.00
_space_group_name_H-M_alt 'P 4/m m m'
_space_group_IT_number 123
_space_group_name_Hall '-P 4 2'
loop_
_atom_site_label
_atom_site_type_symbol
_atom_site_fract_x
_atom_site_fract_y
_atom_site_fract_z
_atom_site_occupancy
Ta1 Ta 0.0000 0.0000 0.0000 1
Fe1 Fe 0.5000 0.5000 0.5000 1
P1 P 0.0000 0.5000 0.5000 1
S1 S 0.5000 0.5000 0.0000 1
```

Summary:
- formation energy from raw total energies (eV/f.u.) = 3.3
- ΔE to the lowest computed polymorph (kJ per mole of atoms) = 3.15